No. 1
# SrReHgMo2, PBEsol geometry, DFT meta-GGA SCAN
# - ρ (g cm⁻³) = 10.6
# - DOS at the Fermi energy (states/eV/f.u.) = 5.3
# - energy of formation from the pure elements (eV/atom) = 3.404
data_SrReHgMo2
_chemical_formula_sum 'Sr1 Re1 Hg1 Mo2'
_space_group_name_H-M_alt 'P 4/m m m'
_space_group_IT_number 123
_space_group_name_Hall '-P 4 2'
_cell_length_a 4.678
_cell_length_b 4.678
_cell_length_c 4.776
_cell_angle_alpha 90.00
_cell_angle_beta 90.00
_cell_angle_gamma 90.00
loop_
_atom_site_label
_atom_site_type_symbol
_atom_site_fract_x
_atom_site_fract_y
_atom_site_fract_z
_atom_site_occupancy
Sr1 Sr 0.000 0.000 0.000 1
Re1 Re 0.000 0.000 0.500 1
Hg1 Hg 0.500 0.500 0.500 1
Mo1 Mo 0.000 0.500 0.000 1

=====

No. 2
# FeReAu2, PBEsol geometry, DFT meta-GGA SCAN
# - ρ (g cm⁻³) = 17.8
# - DOS at the Fermi energy (states/eV/f.u.) = 2.8
# - energy of formation from the pure elements (eV/atom) = 0.421
data_FeReAu2
_chemical_formula_sum 'Fe2 Re2 Au4'
_space_group_name_H-M_alt 'I -4 m 2'
_space_group_IT_number 119
_space_group_name_Hall 'I -4 -2'
_cell_length_a 3.952
_cell_length_b 3.952
_cell_length_c 7.575
_cell_angle_alpha 90.00
_cell_angle_beta 90.00
_cell_angle_gamma 90.00
loop_
_atom_site_label
_atom_site_type_symbol
_atom_site_fract_x
_atom_site_fract_y
_atom_site_fract_z
_atom_site_occupancy
Fe1 Fe 0.000 0.000 0.000 1
Re1 Re 0.000 0.500 0.250 1
Au1 Au 0.000 0.000 0.500 1
Au2 Au 0.000 0.500 0.750 1